Here is a geometry-optimized Ce2SbH3 structure from the Alexandria database. Energies are from PBE-GGA.

a = 7.9951 Å, b = 7.9951 Å, c = 7.2088 Å
α = 114.01°, β = 114.01°, γ = 29.28°
With the nearest neighbours (Å) after each atom.
Positions (direct):
Ce  0.0247  0.0247  0.2582  5 H 2.24-2.39
Ce  0.3006  0.3006  0.3232  6 H 2.24-2.49
Ce  0.6994  0.6994  0.6768  6 H 2.24-2.49
Ce  0.9753  0.9753  0.7418  5 H 2.24-2.39
Sb  0.3653  0.3653  0.9453  7 Ce 3.20-3.35, 7 H 3.23-3.55
Sb  0.6347  0.6347  0.0547  7 Ce 3.20-3.35, 7 H 3.23-3.55
H  0.0974  0.0974  0.6234  1 H 2.14, 2 Ce 2.38-2.39
H  0.1908  0.1908  0.4730  1 H 2.14, 2 Ce 2.37-2.38
H  0.4425  0.4425  0.5936  3 Ce 2.24, 2 H 2.47
H  0.5575  0.5575  0.4064  3 Ce 2.24, 2 H 2.47
H  0.8092  0.8092  0.5270  1 H 2.14, 2 Ce 2.37-2.38
H  0.9026  0.9026  0.3766  1 H 2.14, 2 Ce 2.38-2.39

- M_tot (μB per cell) = 4.04
- space group = No. 12
- E_tot (eV for the cell shown) = -60.23


Here is a geometry-optimized Sc2CoCuTe structure from the Alexandria database. Energies are from PBE-GGA.

a = 4.8167 Å, b = 4.8167 Å, c = 4.6578 Å
α = 90.00°, β = 90.00°, γ = 90.00°
With the nearest neighbours (Å) after each atom.
Positions (direct):
Sc  0.0000  0.5000  0.0000  2 Co 2.41
Sc  0.5000  0.0000  0.0000  2 Co 2.41
Co  0.0000  0.0000  0.0000  2 Te 2.33, 4 Sc 2.41
Cu  0.5000  0.5000  0.5000  8 Sc 3.35, 4 Te 3.41
Te  0.0000  0.0000  0.5000  2 Co 2.33

- M_tot (μB per cell) = 0.00
- space group = No. 123
- formation energy (no corrections) (eV per formula unit) = 0.1


Here is a geometry-optimized NbV2Mo2 structure from the Alexandria database. Energies are from PBE-GGA.

a = 7.1742 Å, b = 7.1742 Å, c = 3.0742 Å
α = 90.00°, β = 90.00°, γ = 90.00°
With the nearest neighbours (Å) after each atom.
Positions (direct):
Nb  0.0000  0.0000  0.0000  4 V 2.77, 2 Nb 3.07
Nb  0.5000  0.5000  0.0000  4 V 2.77, 2 Nb 3.07
V  0.1408  0.3592  0.0000  6 Mo 2.55-2.64, 2 Nb 2.77, 1 V 2.86
V  0.3592  0.8592  0.0000  6 Mo 2.55-2.64, 2 Nb 2.77, 1 V 2.86
V  0.6408  0.1408  0.0000  6 Mo 2.55-2.64, 2 Nb 2.77, 1 V 2.86
V  0.8592  0.6408  0.0000  6 Mo 2.55-2.64, 2 Nb 2.77, 1 V 2.86
Mo  0.1584  0.6584  0.5000  6 V 2.55-2.64
Mo  0.3416  0.1584  0.5000  6 V 2.55-2.64
Mo  0.6584  0.8416  0.5000  6 V 2.55-2.64
Mo  0.8416  0.3416  0.5000  6 V 2.55-2.64

- M_tot (μB per cell) = 0.00
- space group = No. 127
- energy relative to the elements (meV per atom) = 335
- energy relative to the lowest polymorph listed for this composition (eV/atom) = 0.426


Here is a geometry-optimized PmTmMnRu structure from the Alexandria database. Energies are from PBE-GGA.

a = 4.9339 Å, b = 4.9339 Å, c = 4.9339 Å
α = 60.00°, β = 60.00°, γ = 60.00°
With the nearest neighbours (Å) after each atom.
Positions (direct):
Pm  0.0000  0.0000  0.0000  4 Mn 3.02, 4 Ru 3.02
Tm  0.5000  0.5000  0.5000  4 Ru 3.02, 4 Mn 3.02
Mn  0.2500  0.2500  0.2500  4 Tm 3.02, 4 Pm 3.02
Ru  0.7500  0.7500  0.7500  4 Tm 3.02, 4 Pm 3.02

- M_tot (μB per cell) = 3.53
- space group = No. 216
- energy relative to the elements (meV per atom) = -27


Here is a geometry-optimized Pr2Cu12Ni3Rh structure from the Alexandria database. Energies are from PBE-GGA.

a = 7.5873 Å, b = 7.5873 Å, c = 7.5873 Å
α = 61.71°, β = 61.71°, γ = 61.71°
With the nearest neighbours (Å) after each atom.
Positions (direct):
Pr  0.1160  0.1160  0.1160  6 Cu 2.79
Pr  0.8840  0.8840  0.8840  6 Cu 2.79
Cu  0.1191  0.6268  0.6268  1 Ni 2.28, 1 Rh 2.41
Cu  0.1402  0.1402  0.6203  2 Ni 2.29
Cu  0.1402  0.6203  0.1402  2 Ni 2.29
Cu  0.3732  0.3732  0.8809  1 Ni 2.28, 1 Rh 2.41
Cu  0.3732  0.8809  0.3732  1 Ni 2.28, 1 Rh 2.41
Cu  0.3797  0.8598  0.8598  2 Ni 2.29
Cu  0.6203  0.1402  0.1402  2 Ni 2.29
Cu  0.6268  0.1191  0.6268  1 Ni 2.28, 1 Rh 2.41
Cu  0.6268  0.6268  0.1191  1 Ni 2.28, 1 Rh 2.41
Cu  0.8598  0.3797  0.8598  2 Ni 2.29
Cu  0.8598  0.8598  0.3797  2 Ni 2.29
Cu  0.8809  0.3732  0.3732  1 Ni 2.28, 1 Rh 2.41
Ni  0.0000  0.5000  0.5000  6 Cu 2.28-2.29
Ni  0.5000  0.0000  0.5000  6 Cu 2.28-2.29
Ni  0.5000  0.5000  0.0000  6 Cu 2.28-2.29
Rh  0.5000  0.5000  0.5000  6 Cu 2.41

- M_tot (μB per cell) = 0.00
- space group = No. 166
- energy relative to the elements (meV per atom) = 510


Here is a geometry-optimized RuSeBr2 structure from the Alexandria database. Energies are from PBE-GGA.

a = 8.1749 Å, b = 8.1749 Å, c = 8.1749 Å
α = 26.97°, β = 26.97°, γ = 26.97°
With the nearest neighbours (Å) after each atom.
Positions (direct):
Ru  0.0000  0.0000  0.0000  6 Br 2.57
Se  0.5000  0.5000  0.5000  2 Br 2.62
Br  0.3891  0.3891  0.3891  3 Ru 2.57, 1 Se 2.62
Br  0.6109  0.6109  0.6109  3 Ru 2.57, 1 Se 2.62

- M_tot (μB per cell) = 0.00
- space group = No. 166
- formation energy (no corrections) (eV per formula unit) = 1.8
- energy relative to the lowest polymorph listed for this composition (eV/atom) = 0.639


Here is a geometry-optimized BiAsPt2 structure from the Alexandria database. Energies are from PBE-GGA.

a = 4.7853 Å, b = 4.7853 Å, c = 4.7853 Å
α = 60.00°, β = 60.00°, γ = 60.00°
With the nearest neighbours (Å) after each atom.
Positions (direct):
Bi  0.0000  0.0000  0.0000  8 Pt 2.93
As  0.5000  0.5000  0.5000  8 Pt 2.93
Pt  0.2500  0.2500  0.2500  4 As 2.93, 4 Bi 2.93
Pt  0.7500  0.7500  0.7500  4 As 2.93, 4 Bi 2.93

- M_tot (μB per cell) = 0.00
- space group = No. 225
- energy relative to the elements (meV per atom) = 18


Here is a geometry-optimized Sr2HfTl3S6 structure from the Alexandria database. Energies are from PBE-GGA.

a = 7.2814 Å, b = 7.2814 Å, c = 7.5070 Å
α = 99.55°, β = 99.55°, γ = 120.16°
With the nearest neighbours (Å) after each atom.
Positions (direct):
Sr  0.1658  0.8342  0.0000  6 S 2.97-2.99
Sr  0.8342  0.1658  0.0000  6 S 2.97-2.99
Hf  0.5000  0.5000  0.0000  6 S 2.57-2.61
Tl  0.0000  0.0000  0.5000  6 S 3.07-3.42
Tl  0.3351  0.6649  0.5000  4 S 3.03-3.12
Tl  0.6649  0.3351  0.5000  4 S 3.03-3.12
S  0.1389  0.4282  0.7938  1 Hf 2.57
S  0.2807  0.2807  0.2139  1 Hf 2.61
S  0.4282  0.1389  0.7938  1 Hf 2.57
S  0.5718  0.8611  0.2062  1 Hf 2.57
S  0.7193  0.7193  0.7861  1 Hf 2.61
S  0.8611  0.5718  0.2062  1 Hf 2.57

- M_tot (μB per cell) = 0.00
- space group = No. 12
- formation energy (no corrections) (eV per formula unit) = -14.6


Here is a geometry-optimized AcMgAl structure from the Alexandria database. Energies are from PBE-GGA.

a = 6.7952 Å, b = 6.7952 Å, c = 6.7952 Å
α = 148.64°, β = 148.64°, γ = 44.94°
With the nearest neighbours (Å) after each atom.
Positions (direct):
Ac  0.0000  0.0000  0.0000  4 Al 3.44, 5 Mg 3.66-3.70, 4 Ac 3.67
Mg  0.7050  0.7050  0.0000  4 Al 2.97
Al  0.3204  0.3204  0.0000  4 Mg 2.97

- M_tot (μB per cell) = 0.00
- space group = No. 107
- energy relative to the elements (meV per atom) = -68
- energy relative to the lowest polymorph listed for this composition (eV/atom) = 0.170


Here is a geometry-optimized Cs2Zr3UO12 structure from the Alexandria database. Energies are from PBE-GGA.

a = 7.8892 Å, b = 7.8892 Å, c = 7.8892 Å
α = 59.51°, β = 59.51°, γ = 59.51°
With the nearest neighbours (Å) after each atom.
Positions (direct):
Cs  0.1236  0.1236  0.1236  6 O 3.41-3.48
Cs  0.8764  0.8764  0.8764  6 O 3.41-3.48
Zr  0.0000  0.5000  0.5000  6 O 2.09-2.14
Zr  0.5000  0.0000  0.5000  6 O 2.09-2.14
Zr  0.5000  0.5000  0.0000  6 O 2.09-2.14
U  0.5000  0.5000  0.5000  6 O 2.05
O  0.1834  0.1834  0.5633  2 Zr 2.09
O  0.1834  0.5633  0.1834  2 Zr 2.09
O  0.1920  0.5630  0.5630  1 U 2.05, 1 Zr 2.14
O  0.4370  0.4370  0.8080  1 U 2.05, 1 Zr 2.14
O  0.4370  0.8080  0.4370  1 U 2.05, 1 Zr 2.14
O  0.4367  0.8166  0.8166  2 Zr 2.09
O  0.5633  0.1834  0.1834  2 Zr 2.09
O  0.5630  0.1920  0.5630  1 U 2.05, 1 Zr 2.14
O  0.5630  0.5630  0.1920  1 U 2.05, 1 Zr 2.14
O  0.8080  0.4370  0.4370  1 U 2.05, 1 Zr 2.14
O  0.8166  0.4367  0.8166  2 Zr 2.09
O  0.8166  0.8166  0.4367  2 Zr 2.09

- M_tot (μB per cell) = 3.96
- space group = No. 166
- formation energy (no corrections) (eV per formula unit) = -44.0


Here is a geometry-optimized YHoPtAu structure from the Alexandria database. Energies are from PBE-GGA.

a = 5.0080 Å, b = 5.0080 Å, c = 5.0080 Å
α = 60.00°, β = 60.00°, γ = 60.00°
With the nearest neighbours (Å) after each atom.
Positions (direct):
Y  0.0000  0.0000  0.0000  4 Au 3.07, 4 Pt 3.07
Ho  0.5000  0.5000  0.5000  4 Pt 3.07, 4 Au 3.07
Pt  0.2500  0.2500  0.2500  4 Ho 3.07, 4 Y 3.07
Au  0.7500  0.7500  0.7500  4 Ho 3.07, 4 Y 3.07

- M_tot (μB per cell) = 0.00
- space group = No. 216
- energy relative to the elements (meV per atom) = -1039
- energy relative to the lowest polymorph listed for this composition (eV/atom) = 0.049


Here is a geometry-optimized ZrCu2P structure from the Alexandria database. Energies are from PBE-GGA.

a = 3.2107 Å, b = 3.2107 Å, c = 5.9879 Å
α = 90.00°, β = 90.00°, γ = 99.49°
With the nearest neighbours (Å) after each atom.
Positions (direct):
Zr  0.0000  0.0000  0.0000  4 P 2.62-2.93, 3 Cu 2.78-2.90
Cu  0.0000  0.0000  0.4847  2 Cu 2.41, 2 P 2.45
Cu  0.5000  0.5000  0.6898  2 Cu 2.41, 1 P 2.52
P  0.5000  0.5000  0.2682  3 Cu 2.45-2.52, 2 Zr 2.62

- M_tot (μB per cell) = 0.00
- space group = No. 35
- energy relative to the elements (meV per atom) = -220


Here is a geometry-optimized Ca2TbThSb4 structure from the Alexandria database. Energies are from PBE-GGA.

a = 7.7862 Å, b = 4.5100 Å, c = 7.8248 Å
α = 90.00°, β = 109.50°, γ = 90.00°
With the nearest neighbours (Å) after each atom.
Positions (direct):
Ca  0.0000  0.0000  0.0000  6 Sb 3.20-3.21
Ca  0.5000  0.5000  0.0000  6 Sb 3.24
Tb  0.0000  0.5000  0.5000  6 Sb 3.14
Th  0.5000  0.0000  0.5000  6 Sb 3.17
Sb  0.2437  0.0000  0.7410  2 Tb 3.14, 1 Th 3.17, 3 Ca 3.21-3.24
Sb  0.2485  0.5000  0.2560  1 Tb 3.14, 2 Th 3.17, 3 Ca 3.20-3.24
Sb  0.7515  0.5000  0.7440  1 Tb 3.14, 2 Th 3.17, 3 Ca 3.20-3.24
Sb  0.7563  0.0000  0.2590  2 Tb 3.14, 1 Th 3.17, 3 Ca 3.21-3.24

- M_tot (μB per cell) = 0.00
- space group = No. 10
- formation energy (no corrections) (eV per formula unit) = -7.7


no.,volume (Å³ per atom)
1,17.04
2,21.61
3,15.82
4,21.23
5,17.82
6,24.78
7,19.37
8,27.04
9,28.23
10,19.07
11,22.20
12,15.22
13,32.38